## DyHg6Pd (PBE)

Data for an optimized crystal structure of DyHg6Pd.

It has space group R-3m (No. 166, hexagonal axes), with a = 5.8993 Å, b = 5.8993 Å, c = 24.0306 Å, α = 90.00°, β = 90.00° and γ = 120.00°. Symmetry generates all atoms from Dy at (0.0000, 0.0000, 0.0000), Hg at (0.0052, 0.5026, 0.4372) and Pd at (0.0000, 0.0000, 0.5000).

The total energy comes out at -1.28 eV/atom. The value obtained for the formation energy is 0.18 eV per atom.

## Sc4Cu2Ni3 (PBE)

Data for an optimized crystal structure of Sc4Cu2Ni3.

It has space group C2/m (No. 12), with a = 8.720 Å, b = 4.331 Å, c = 7.787 Å, α = 90.00°, β = 99.77° and γ = 90.00°. Symmetry generates all atoms from Sc at (0.073, 0.000, 0.340), Sc at (0.144, 0.500, 0.895), Cu at (0.250, 0.000, 0.727), Ni at (0.000, 0.000, 0.000) and Ni at (0.135, 0.500, 0.558).

The total energy comes out at -5.98 eV/atom. The value obtained for the formation energy is -0.33 eV per atom.